Material: Li5Cd6In2
Method: DFT, PBE
State: relaxed

Geometry as extended XYZ:
```
26
Lattice="9.700 0.000 0.000 0.000 17.030 0.000 0.000 0.000 3.224" Properties=species:S:1:pos:R:3 pbc="T T T"
Li 0.000 0.000 0.000
Li 0.870 4.595 0.000
Li 1.867 9.410 0.000
Li 2.983 0.895 0.000
Li 3.980 13.110 0.000
Li 4.850 8.515 0.000
Li 5.720 3.920 0.000
Li 6.717 16.135 0.000
Li 7.833 7.620 0.000
Li 8.830 12.435 0.000
Cd 0.592 7.145 1.612
Cd 0.776 2.161 1.612
Cd 1.802 14.908 0.000
Cd 3.048 6.393 0.000
Cd 4.074 10.676 1.612
Cd 4.258 15.661 1.612
Cd 5.441 1.370 1.612
Cd 5.625 6.354 1.612
Cd 6.652 10.637 0.000
Cd 7.898 2.122 0.000
Cd 8.924 14.869 1.612
Cd 9.108 9.885 1.612
In 1.542 12.147 1.612
In 3.308 3.632 1.612
In 6.391 13.398 1.612
In 8.158 4.883 1.612
```

Space group: Pbam
Calculated total energy (eV/cell): -45.805
V (Å³ per cell): 532.5